Material: BaLi2Cl
Method: DFT, GGA-PBEsol
State: optimized geometry

Results
SG ... I-42d (122)
N(E_F) ... 6.6 states/eV per cell
Offset from the most stable computed form ... 221 meV/atom
Energy relative to the elements, uncorrected ... -570 meV/atom

Cell: 7.4595 7.4595 7.4595 Å, 88.97 60.59 119.41°
With the nearest neighbours (Å) after each atom.
Positions (direct):
Li 0.7849 0.6599 0.6250  2 Cl 2.31
Li 0.2849 0.6250 0.5901  2 Cl 2.31
Cl 0.0000 0.5000 0.5000  4 Li 2.31
Ba 0.5000 0.2500 0.2500  12 Li 4.18-4.63, 4 Ba 4.58, 4 Cl 4.58
Ba 0.0000 0.0000 0.0000  12 Li 4.18-4.63, 4 Ba 4.58, 4 Cl 4.58
Li 0.2151 0.5901 0.1250  2 Cl 2.31
Cl 0.5000 0.7500 0.7500  4 Li 2.31
Li 0.7151 0.1250 0.6599  2 Cl 2.31